# Ac6GeSe12 (PBE-GGA, relaxed)
# Formation energy without anion corrections = -1.518 eV per atom
# DFT total energy = -5.26 eV per atom
# Density = 6.3 g cm⁻³
# DOS(E_F) = 53.44 states/eV/cell
data_Ac6GeSe12
_chemical_formula_sum 'Ac18 Ge3 Se36'
_symmetry_space_group_name_H-M 'R -3'
_symmetry_Int_Tables_number 148
_symmetry_space_group_name_Hall '-R 3'
_cell_length_a 13.1776
_cell_length_b 13.1776
_cell_length_c 12.5727
_cell_angle_alpha 90.00
_cell_angle_beta 90.00
_cell_angle_gamma 120.00
loop_
_atom_site_label
_atom_site_fract_x
_atom_site_fract_y
_atom_site_fract_z
_atom_site_occupancy
Ac1 0.0566 0.7820 0.1475 1
Ge1 0.0000 0.0000 0.5000 1
Se1 0.0421 0.8205 0.9022 1
Se2 0.0598 0.8646 0.3897 1